DFT (PBE-GGA) results for crystalline Ba2Sn3 at its relaxed geometry.

Cell lengths 6.6622, 6.8499, 9.0721 Å; angles 90.00, 90.00, 119.10 degrees
Atoms (fractional coordinates):
Ba (0.1535, 0.3070, 0.5997)
Ba (0.8465, 0.6930, 0.4003)
Ba (0.3465, 0.6930, 0.0997)
Ba (0.6535, 0.3070, 0.9003)
Sn (0.5000, 0.0000, 0.5000)
Sn (0.0000, 0.0000, 0.0000)
Sn (0.6483, 0.7965, 0.7500)
Sn (0.8517, 0.2035, 0.2500)
Sn (0.1483, 0.7965, 0.7500)
Sn (0.3517, 0.2035, 0.2500)

Calculated values
raw total energy	-3.753	eV per atom
mass density	5.791	g/cm³
DFT formation energy	-2.912	eV per formula unit
SG	Cmce (64)